Record 1
Below is a geometry-optimized NdYAl2Pt4 structure, with properties calculated at the PBE-GGA level.

Total moment, μB/cell: 0.00
DFT total energy, eV per atom: -6.5079
ρ, kg/m3: 11327

Structure (POSCAR):
```
NdYAl2Pt4
1.0
-3.1620 -0.1973 -3.0129
3.8248 -1.9949 -0.7113
-3.3520 -7.8649 4.0329
Al Pt Nd Y
2 4 1 1
direct
0.6667 0.3333 0.2554 Al
0.6667 0.3333 0.7446 Al
0.0000 0.0000 0.6656 Pt
0.3333 0.6667 0.8209 Pt
0.3333 0.6667 0.1791 Pt
0.0000 0.0000 0.3344 Pt
0.0000 0.0000 0.0000 Nd
0.3333 0.6667 0.5000 Y
```

Record 2
Below is a geometry-optimized NdPuAl structure, with properties calculated at the PBE-GGA level.

Total moment, μB/cell: 6.03
DFT total energy, eV per atom: -7.1587
ρ, kg/m3: 7796

Structure (POSCAR):
```
NdPuAl
1.0
2.5005 1.4436 4.0832
-2.5005 1.4436 4.0832
0.0000 -2.8873 4.0832
Pu Al Nd
1 1 1
direct
0.0000 0.0000 0.0000 Pu
0.7500 0.7500 0.7500 Al
0.2500 0.2500 0.2500 Nd
```

Record 3
Below is a geometry-optimized RbNdAlTe3 structure, with properties calculated at the PBE-GGA level.

Total moment, μB/cell: 0.19
DFT total energy, eV per atom: -4.1021
ρ, kg/m3: 4562

Structure (POSCAR):
```
RbNdAlTe3
1.0
2.4438 -7.8846 0.0000
2.4438 7.8846 0.0000
0.0000 0.0000 12.0801
Te Nd Al Rb
6 2 2 2
direct
0.4391 0.5609 0.7500 Te
0.5609 0.4391 0.2500 Te
0.8747 0.1253 0.4300 Te
0.1253 0.8747 0.9300 Te
0.8747 0.1253 0.0700 Te
0.1253 0.8747 0.5700 Te
0.5000 0.5000 0.5000 Nd
0.5000 0.5000 0.0000 Nd
0.0218 0.9782 0.7500 Al
0.9782 0.0218 0.2500 Al
0.2470 0.7530 0.2500 Rb
0.7530 0.2470 0.7500 Rb
```

Record 4
Below is a geometry-optimized NdAlRe structure, with properties calculated at the PBE-GGA level.

Total moment, μB/cell: 0.00
DFT total energy, eV per atom: -6.4310
ρ, kg/m3: 8555

Structure (POSCAR):
```
NdAlRe
1.0
-1.3564 1.9854 3.9357
-4.2575 1.7368 0.3589
-3.1230 -2.0851 2.6779
Re Al Nd
1 1 1
direct
0.0000 0.0000 0.0000 Re
0.2500 0.2500 0.2500 Al
0.7500 0.7500 0.7500 Nd
```

Q: Which formula does entry 1 have?
A: NdYAl2Pt4